Na3Sc3CoO8: optimized geometry, PBE+U.

Output
Energy (eV per formula unit): -103.93
Crystal system: trigonal
V (A^3/atom): 12.3

Unit cell a=6.2207 b=6.2207 c=16.4661 alpha=90.00 beta=90.00 gamma=120.00
Space group R-3m (No. 166, hexagonal axes)
One atom of each set of equivalent atoms:
Na 0.0000 0.5000 0.0000 x9
Sc 0.0000 0.5000 0.5000 x9
Co 0.0000 0.0000 0.5000 x3
O 0.0000 0.0000 0.2334 x6
O 0.0264 0.5132 0.2303 x18